(1)
The following is a PBE-GGA calculation of crystalline K2LiTc at its relaxed geometry, from Alexandria via LeMat-Bulk.

The structure in CIF format:
```
data_K2LiTc
_chemical_formula_sum 'K4 Li2 Tc2'
_space_group_name_H-M_alt 'I m m 2'
_space_group_IT_number 44
_cell_length_a 2.839
_cell_length_b 6.384
_cell_length_c 13.201
_cell_angle_alpha 90.00
_cell_angle_beta 90.00
_cell_angle_gamma 90.00
loop_
_space_group_symop_operation_xyz
'x,y,z'
'-x,-y,z'
'-x,y,z'
'x,-y,z'
'x+1/2,y+1/2,z+1/2'
'-x+1/2,-y+1/2,z+1/2'
'-x+1/2,y+1/2,z+1/2'
'x+1/2,-y+1/2,z+1/2'
loop_
_atom_site_label
_atom_site_type_symbol
_atom_site_fract_x
_atom_site_fract_y
_atom_site_fract_z
K1 K 0.000 0.000 0.000
K2 K 0.000 0.500 0.204
Li1 Li 0.000 0.500 0.793
Tc1 Tc 0.000 0.000 0.460
```

- DOS at the Fermi energy (states/eV per cell) = 5.45
- uncorrected energy (eV per atom) = -2.62
- calculated volume (Å³/cell) = 239
- ΔH_f (0 K) (kJ/mol of formula units) = 386

=====

(2)
The following is a PBE-GGA calculation of crystalline AcVC2 at its relaxed geometry, from Alexandria via LeMat-Bulk.

The structure in CIF format:
```
data_AcVC2
_chemical_formula_sum 'Ac3 V3 C6'
_space_group_name_H-M_alt 'R -3 m'
_space_group_IT_number 166
_space_group_name_Hall '-R 3 2"'
_cell_length_a 3.3303
_cell_length_b 3.3303
_cell_length_c 17.8378
_cell_angle_alpha 90.00
_cell_angle_beta 90.00
_cell_angle_gamma 120.00
loop_
_atom_site_label
_atom_site_type_symbol
_atom_site_fract_x
_atom_site_fract_y
_atom_site_fract_z
Ac1 Ac 0.0000 0.0000 0.0000
V1 V 0.0000 0.0000 0.5000
C1 C 0.0000 0.0000 0.2239
```

- DOS at the Fermi energy (states/eV per cell) = 4.17
- uncorrected energy (eV per atom) = -7.51
- calculated volume (Å³/cell) = 171
- ΔH_f (0 K) (kJ/mol of formula units) = 158

=====

(3)
The following is a PBE-GGA calculation of crystalline Y2ScP2 at its relaxed geometry, from Alexandria via LeMat-Bulk.

The structure in CIF format:
```
data_Y2ScP2
_chemical_formula_sum 'Y4 Sc2 P4'
_space_group_name_H-M_alt 'I 4/m m m'
_space_group_IT_number 139
_space_group_name_Hall '-I 4 2'
_cell_length_a 4.362
_cell_length_b 4.362
_cell_length_c 11.646
_cell_angle_alpha 90.00
_cell_angle_beta 90.00
_cell_angle_gamma 90.00
loop_
_atom_site_label
_atom_site_type_symbol
_atom_site_fract_x
_atom_site_fract_y
_atom_site_fract_z
Y1 Y 0.000 0.500 0.250
Sc1 Sc 0.000 0.000 0.000
P1 P 0.000 0.000 0.404
```

- DOS at the Fermi energy (states/eV per cell) = 8.30
- uncorrected energy (eV per atom) = -6.64
- calculated volume (Å³/cell) = 222
- ΔH_f (0 K) (kJ/mol of formula units) = -301

=====

(4)
The following is a PBE-GGA calculation of crystalline Pa6Tc3Rh at its relaxed geometry, from Alexandria via LeMat-Bulk.

The structure in CIF format:
```
data_Pa6Tc3Rh
_chemical_formula_sum 'Pa12 Tc6 Rh2'
_space_group_name_H-M_alt 'P 1 21/c 1'
_space_group_IT_number 14
_cell_length_a 6.952
_cell_length_b 7.053
_cell_length_c 11.545
_cell_angle_alpha 90.00
_cell_angle_beta 125.43
_cell_angle_gamma 90.00
loop_
_space_group_symop_operation_xyz
'x,y,z'
'-x,-y,-z'
'-x,y+1/2,-z+1/2'
'x,-y+1/2,z+1/2'
loop_
_atom_site_label
_atom_site_type_symbol
_atom_site_fract_x
_atom_site_fract_y
_atom_site_fract_z
Pa1 Pa 0.034 0.064 0.255
Pa2 Pa 0.254 0.676 0.089
Pa3 Pa 0.415 0.140 0.053
Tc1 Tc 0.000 0.000 0.000
Tc2 Tc 0.233 0.159 0.708
Rh1 Rh 0.500 0.000 0.500
```

- DOS at the Fermi energy (states/eV per cell) = 29.97
- uncorrected energy (eV per atom) = -9.69
- calculated volume (Å³/cell) = 461
- ΔH_f (0 K) (kJ/mol of formula units) = -143

=====

(5)
The following is a PBE-GGA calculation of crystalline NdGdGe2 at its relaxed geometry, from Alexandria via LeMat-Bulk.

The structure in CIF format:
```
data_NdGdGe2
_chemical_formula_sum 'Nd1 Gd1 Ge2'
_space_group_name_H-M_alt 'P 4/m m m'
_space_group_IT_number 123
_space_group_name_Hall '-P 4 2'
_cell_length_a 3.858
_cell_length_b 3.858
_cell_length_c 6.492
_cell_angle_alpha 90.00
_cell_angle_beta 90.00
_cell_angle_gamma 90.00
loop_
_atom_site_label
_atom_site_type_symbol
_atom_site_fract_x
_atom_site_fract_y
_atom_site_fract_z
Nd1 Nd 0.000 0.000 0.000
Gd1 Gd 0.000 0.000 0.500
Ge1 Ge 0.500 0.500 0.280
```

- DOS at the Fermi energy (states/eV per cell) = 3.14
- uncorrected energy (eV per atom) = -7.66
- calculated volume (Å³/cell) = 97
- ΔH_f (0 K) (kJ/mol of formula units) = -248

=====

(6)
The following is a PBE-GGA calculation of crystalline TbSmLuMn at its relaxed geometry, from Alexandria via LeMat-Bulk.

The structure in CIF format:
```
data_TbSmLuMn
_chemical_formula_sum 'Tb4 Sm4 Lu4 Mn4'
_space_group_name_H-M_alt 'F -4 3 m'
_space_group_IT_number 216
_space_group_name_Hall 'F -4 2 3'
_cell_length_a 7.572
_cell_length_b 7.572
_cell_length_c 7.572
_cell_angle_alpha 90.00
_cell_angle_beta 90.00
_cell_angle_gamma 90.00
loop_
_atom_site_label
_atom_site_type_symbol
_atom_site_fract_x
_atom_site_fract_y
_atom_site_fract_z
Tb1 Tb 0.000 0.000 0.000
Sm1 Sm 0.000 0.000 0.500
Lu1 Lu 0.250 0.250 0.750
Mn1 Mn 0.250 0.250 0.250
```

- DOS at the Fermi energy (states/eV per cell) = 18.88
- uncorrected energy (eV per atom) = -5.49
- calculated volume (Å³/cell) = 434
- ΔH_f (0 K) (kJ/mol of formula units) = 104

=====

(7)
The following is a PBE-GGA calculation of crystalline ZrAlPtRh at its relaxed geometry, from Alexandria via LeMat-Bulk.

The structure in CIF format:
```
data_ZrAlPtRh
_chemical_formula_sum 'Zr2 Al2 Pt2 Rh2'
_space_group_name_H-M_alt 'I -4 m 2'
_space_group_IT_number 119
_space_group_name_Hall 'I -4 -2'
_cell_length_a 4.170
_cell_length_b 4.170
_cell_length_c 7.510
_cell_angle_alpha 90.00
_cell_angle_beta 90.00
_cell_angle_gamma 90.00
loop_
_atom_site_label
_atom_site_type_symbol
_atom_site_fract_x
_atom_site_fract_y
_atom_site_fract_z
Zr1 Zr 0.000 0.000 0.000
Al1 Al 0.000 0.000 0.500
Pt1 Pt 0.000 0.500 0.750
Rh1 Rh 0.000 0.500 0.250
```

- DOS at the Fermi energy (states/eV per cell) = 1.27
- uncorrected energy (eV per atom) = -7.40
- calculated volume (Å³/cell) = 131
- ΔH_f (0 K) (kJ/mol of formula units) = -378

=====

(8)
The following is a PBE-GGA calculation of crystalline Nd2Ge4Ir3 at its relaxed geometry, from Alexandria via LeMat-Bulk.

The structure in CIF format:
```
data_Nd2Ge4Ir3
_chemical_formula_sum 'Nd8 Ge16 Ir12'
_space_group_name_H-M_alt 'F m m m'
_space_group_IT_number 69
_space_group_name_Hall '-F 2 2'
_cell_length_a 5.649
_cell_length_b 9.878
_cell_length_c 12.508
_cell_angle_alpha 90.00
_cell_angle_beta 90.00
_cell_angle_gamma 90.00
loop_
_atom_site_label
_atom_site_type_symbol
_atom_site_fract_x
_atom_site_fract_y
_atom_site_fract_z
Nd1 Nd 0.000 0.000 0.132
Ge1 Ge 0.000 0.169 0.343
Ir1 Ir 0.000 0.000 0.500
Ir2 Ir 0.250 0.250 0.000
```

- DOS at the Fermi energy (states/eV per cell) = 14.72
- uncorrected energy (eV per atom) = -6.70
- calculated volume (Å³/cell) = 698
- ΔH_f (0 K) (kJ/mol of formula units) = -553

=====

Copy entry 3 word for word.
The following is a PBE-GGA calculation of crystalline Y2ScP2 at its relaxed geometry, from Alexandria via LeMat-Bulk.

The structure in CIF format:
```
data_Y2ScP2
_chemical_formula_sum 'Y4 Sc2 P4'
_space_group_name_H-M_alt 'I 4/m m m'
_space_group_IT_number 139
_space_group_name_Hall '-I 4 2'
_cell_length_a 4.362
_cell_length_b 4.362
_cell_length_c 11.646
_cell_angle_alpha 90.00
_cell_angle_beta 90.00
_cell_angle_gamma 90.00
loop_
_atom_site_label
_atom_site_type_symbol
_atom_site_fract_x
_atom_site_fract_y
_atom_site_fract_z
Y1 Y 0.000 0.500 0.250
Sc1 Sc 0.000 0.000 0.000
P1 P 0.000 0.000 0.404
```

- DOS at the Fermi energy (states/eV per cell) = 8.30
- uncorrected energy (eV per atom) = -6.64
- calculated volume (Å³/cell) = 222
- ΔH_f (0 K) (kJ/mol of formula units) = -301